# Sc3CdRh4

Sc3CdRh4 after structural relaxation (PBE, Alexandria).

Cell and atoms, written as POSCAR:
```
Sc3CdRh4
1.0
2.2814 1.3172 7.4192
-2.2814 1.3172 7.4192
0.0000 -2.6343 7.4192
Sc Cd Rh
3 1 4
Cartesian
0.0000 0.0000 0.0000 Sc
0.0000 0.0000 5.4744 Sc
0.0000 0.0000 16.7833 Sc
0.0000 0.0000 11.1288 Cd
0.0000 0.0000 2.6867 Rh
0.0000 0.0000 8.2957 Rh
0.0000 0.0000 13.9620 Rh
0.0000 0.0000 19.5710 Rh
```

Output
Calculated volume: 16.721 Å³/atom
Total magnetic moment: 0.000 μB/f.u.
Fermi-level density of states: 0.551 states/eV per atom
VASP energy: -7.0173 eV per atom

=====

# Sc2Cd2Rh3

Sc2Cd2Rh3 after structural relaxation (PBE, Alexandria).

Cell and atoms, written as POSCAR:
```
Sc2Cd2Rh3
1.0
3.9135 -2.2678 0.0000
3.9135 2.2678 0.0000
-2.6113 0.0000 7.3158
Sc Cd Rh
2 2 3
Cartesian
-0.0015 0.0000 2.6225 Sc
5.2172 0.0000 4.6933 Sc
2.6065 0.0000 0.7890 Cd
2.6091 0.0000 6.5269 Cd
0.0015 0.0000 5.2992 Rh
2.6078 0.0000 3.6579 Rh
5.2142 0.0000 2.0166 Rh
```

Output
Calculated volume: 18.551 Å³/atom
Total magnetic moment: 0.000 μB/f.u.
Fermi-level density of states: 0.488 states/eV per atom
VASP energy: -5.8281 eV per atom

=====

# Sc2Cd2Rh

Sc2Cd2Rh after structural relaxation (PBE, Alexandria).

Cell and atoms, written as POSCAR:
```
Sc2Cd2Rh
1.0
7.1944 0.0000 0.0000
0.0000 7.1944 0.0000
0.0000 0.0000 4.0322
Sc Cd Rh
4 4 2
Cartesian
1.2494 2.3478 0.0000 Sc
2.3478 5.9450 0.0000 Sc
4.8466 1.2494 0.0000 Sc
5.9450 4.8466 0.0000 Sc
0.9710 4.5682 2.0161 Cd
2.6262 0.9710 2.0161 Cd
4.5682 6.2234 2.0161 Cd
6.2234 2.6262 2.0161 Cd
0.0000 0.0000 2.0161 Rh
3.5972 3.5972 2.0161 Rh
```

Output
Calculated volume: 20.870 Å³/atom
Total magnetic moment: 0.000 μB/f.u.
Fermi-level density of states: 1.251 states/eV per atom
Offset from the most stable computed form: 0.401 eV per atom
VASP energy: -4.5031 eV per atom

=====

# Sc2CdRh2

Sc2CdRh2 after structural relaxation (PBE, Alexandria).

Cell and atoms, written as POSCAR:
```
Sc2CdRh2
1.0
-1.9224 1.9224 6.9517
1.9224 -1.9224 6.9517
1.9224 1.9224 -6.9517
Sc Cd Rh
2 1 2
Cartesian
0.0000 0.0000 1.6779 Sc
0.0000 0.0000 12.2254 Sc
0.0000 0.0000 6.9517 Cd
1.9224 0.0000 3.4758 Rh
0.0000 1.9224 3.4758 Rh
```

Output
Calculated volume: 20.552 Å³/atom
Total magnetic moment: 0.000 μB/f.u.
Fermi-level density of states: 1.006 states/eV per atom
VASP energy: -6.0018 eV per atom

=====

# Sc2CdSi2Rh5

Sc2CdSi2Rh5 after structural relaxation (PBE, Alexandria).

Cell and atoms, written as POSCAR:
```
Sc2CdSi2Rh5
1.0
9.5652 0.0000 0.0000
0.0000 9.5652 0.0000
0.0000 0.0000 3.4644
Sc Cd Si Rh
4 2 4 10
Cartesian
1.6540 3.1286 0.0000 Sc
3.1286 7.9112 0.0000 Sc
6.4367 1.6540 0.0000 Sc
7.9112 6.4367 0.0000 Sc
0.0000 0.0000 0.0000 Cd
4.7826 4.7826 0.0000 Cd
1.2094 5.9920 0.0000 Si
3.5733 1.2094 0.0000 Si
5.9920 8.3559 0.0000 Si
8.3559 3.5733 0.0000 Si
0.0000 4.7826 1.7322 Rh
0.6805 7.5168 1.7322 Rh
2.0485 0.6805 1.7322 Rh
2.7342 5.4632 1.7322 Rh
4.1021 2.7342 1.7322 Rh
4.7826 0.0000 1.7322 Rh
5.4632 6.8311 1.7322 Rh
6.8311 4.1021 1.7322 Rh
7.5168 8.8847 1.7322 Rh
8.8847 2.0485 1.7322 Rh
```

Output
Calculated volume: 15.849 Å³/atom
ΔE_f (raw): -885 meV/atom
Total magnetic moment: 0.000 μB/f.u.
Fermi-level density of states: 0.210 states/eV per atom
VASP energy: -7.0034 eV per atom

=====

# SmScCdRh

SmScCdRh after structural relaxation (PBE, Alexandria).

Cell and atoms, written as POSCAR:
```
SmScCdRh
1.0
0.0000 3.5221 3.5221
3.5221 0.0000 3.5221
3.5221 3.5221 0.0000
Sm Sc Cd Rh
1 1 1 1
Cartesian
0.0000 0.0000 0.0000 Sm
3.5221 3.5221 3.5221 Sc
1.7610 1.7610 1.7610 Cd
5.2831 5.2831 5.2831 Rh
```

Output
Calculated volume: 21.846 Å³/atom
Total magnetic moment: 0.000 μB/f.u.
Fermi-level density of states: 0.521 states/eV per atom
VASP energy: -5.2990 eV per atom

=====

# ScCdSnRh

ScCdSnRh after structural relaxation (PBE, Alexandria).

Cell and atoms, written as POSCAR:
```
ScCdSnRh
1.0
0.0000 3.3552 3.3552
3.3552 0.0000 3.3552
3.3552 3.3552 0.0000
Sc Cd Sn Rh
1 1 1 1
Cartesian
0.0000 0.0000 0.0000 Sc
1.6776 1.6776 1.6776 Cd
5.0328 5.0328 5.0328 Sn
3.3552 3.3552 3.3552 Rh
```

Output
Calculated volume: 18.885 Å³/atom
Total magnetic moment: 0.000 μB/f.u.
Fermi-level density of states: 0.409 states/eV per atom
VASP energy: -5.0921 eV per atom

=====

# TbScCdRh

TbScCdRh after structural relaxation (PBE, Alexandria).

Cell and atoms, written as POSCAR:
```
TbScCdRh
1.0
0.0000 3.4881 3.4881
3.4881 0.0000 3.4881
3.4881 3.4881 0.0000
Tb Sc Cd Rh
1 1 1 1
Cartesian
0.0000 0.0000 0.0000 Tb
3.4881 3.4881 3.4881 Sc
1.7441 1.7441 1.7441 Cd
5.2322 5.2322 5.2322 Rh
```

Output
Calculated volume: 21.220 Å³/atom
Total magnetic moment: 0.000 μB/f.u.
Fermi-level density of states: 0.507 states/eV per atom
Offset from the most stable computed form: 0.103 eV per atom
VASP energy: -5.3225 eV per atom

=====

# TbScCdRh

TbScCdRh after structural relaxation (PBE, Alexandria).

Cell and atoms, written as POSCAR:
```
TbScCdRh
1.0
3.4120 0.0000 0.0000
0.0000 3.4120 0.0000
0.0000 0.0000 7.3726
Tb Sc Cd Rh
1 1 1 1
Cartesian
0.0000 0.0000 0.0000 Tb
0.0000 0.0000 4.1718 Sc
1.7060 1.7060 2.2578 Cd
1.7060 1.7060 5.6035 Rh
```

Output
Calculated volume: 21.457 Å³/atom
Total magnetic moment: 0.000 μB/f.u.
Fermi-level density of states: 0.663 states/eV per atom
Offset from the most stable computed form: 0.000 eV per atom
VASP energy: -5.4257 eV per atom

=====

# Sc2TiCdRh

Sc2TiCdRh after structural relaxation (PBE, Alexandria).

Cell and atoms, written as POSCAR:
```
Sc2TiCdRh
1.0
5.0472 0.0000 0.0000
0.0000 5.0472 0.0000
0.0000 0.0000 4.7002
Sc Ti Cd Rh
2 1 1 1
Cartesian
0.0000 2.5236 0.0000 Sc
2.5236 0.0000 0.0000 Sc
0.0000 0.0000 2.3501 Ti
2.5236 2.5236 2.3501 Cd
0.0000 0.0000 0.0000 Rh
```

Output
Calculated volume: 23.947 Å³/atom
Total magnetic moment: 1.359 μB/f.u.
Fermi-level density of states: 1.564 states/eV per atom
VASP energy: -5.8155 eV per atom

=====

# TmScCdRh

TmScCdRh after structural relaxation (PBE, Alexandria).

Cell and atoms, written as POSCAR:
```
TmScCdRh
1.0
0.0000 3.4531 3.4531
3.4531 0.0000 3.4531
3.4531 3.4531 0.0000
Tm Sc Cd Rh
1 1 1 1
Cartesian
0.0000 0.0000 0.0000 Tm
3.4531 3.4531 3.4531 Sc
1.7265 1.7265 1.7265 Cd
5.1796 5.1796 5.1796 Rh
```

Output
Calculated volume: 20.587 Å³/atom
Total magnetic moment: 0.000 μB/f.u.
Fermi-level density of states: 0.611 states/eV per atom
Offset from the most stable computed form: 0.106 eV per atom
VASP energy: -5.3167 eV per atom

=====

# TmScCdRh

TmScCdRh after structural relaxation (PBE, Alexandria).

Cell and atoms, written as POSCAR:
```
TmScCdRh
1.0
3.3822 0.0000 0.0000
0.0000 3.3822 0.0000
0.0000 0.0000 7.3071
Tm Sc Cd Rh
1 1 1 1
Cartesian
0.0000 0.0000 0.0000 Tm
0.0000 0.0000 4.1363 Sc
1.6911 1.6911 2.1936 Cd
1.6911 1.6911 5.6123 Rh
```

Output
Calculated volume: 20.897 Å³/atom
Total magnetic moment: 0.000 μB/f.u.
Fermi-level density of states: 0.614 states/eV per atom
Offset from the most stable computed form: 0.000 eV per atom
VASP energy: -5.4225 eV per atom

=====

- Look up the VASP energy of the twelfth one.
  -5.4225 eV per atom